Entry 1:
Material: Cd2AgAs
Method: DFT, meta-GGA SCAN
State: single point on PBEsol structure

a = 5.748 Å, b = 5.748 Å, c = 5.087 Å
α = 106.34°, β = 106.34°, γ = 29.21°
Sites, in units of the cell vectors:
Cd  0.000  0.000  0.000
Cd  0.214  0.214  0.653
Ag  0.736  0.736  0.156
As  0.444  0.444  0.464

Properties
* magnetic moment: 0.0000 μB per atom
* DFT formation energy: 0.0836 eV/atom


Entry 2:
Material: Zr2CdReO
Method: DFT, meta-GGA SCAN
State: single point on PBEsol structure

a = 4.421 Å, b = 4.421 Å, c = 4.113 Å
α = 90.00°, β = 90.00°, γ = 90.00°
Sites, in units of the cell vectors:
Zr  0.000  0.500  0.000
Zr  0.500  0.000  0.000
Cd  0.000  0.000  0.500
Re  0.500  0.500  0.500
O  0.500  0.500  0.000

Properties
* magnetic moment: 0.0000 μB per atom
* formation energy (no corrections): -761.8 meV/atom


Entry 3:
Material: La2CdRh
Method: DFT, meta-GGA SCAN
State: single point on PBEsol structure

a = 3.630 Å, b = 3.630 Å, c = 7.630 Å
α = 90.00°, β = 90.00°, γ = 90.00°
Sites, in units of the cell vectors:
La  0.000  0.000  0.216
La  0.000  0.000  0.784
Cd  0.500  0.500  0.500
Rh  0.500  0.500  0.000

Properties
* magnetic moment: 0.0000 μB per atom
* DFT formation energy: -0.5784 eV/atom


Entry 4:
Material: CdOs3
Method: DFT, meta-GGA SCAN
State: single point on PBEsol structure

a = 2.740 Å, b = 3.823 Å, c = 5.794 Å
α = 90.00°, β = 90.00°, γ = 90.00°
Sites, in units of the cell vectors:
Cd  0.000  0.000  0.000
Os  0.000  0.000  0.500
Os  0.500  0.500  0.276
Os  0.500  0.500  0.724

Properties
* magnetic moment: 0.0000 μB per atom
* DFT formation energy: 0.5851 eV/atom
* offset from the most stable computed form: 0 meV/atom


Entry 5:
Material: CuAsRh2
Method: DFT, meta-GGA SCAN
State: single point on PBEsol structure

a = 7.992 Å, b = 7.992 Å, c = 7.992 Å
α = 20.56°, β = 20.56°, γ = 20.56°
Sites, in units of the cell vectors:
Cu  0.000  0.000  0.000
As  0.500  0.500  0.500
Rh  0.247  0.247  0.247
Rh  0.753  0.753  0.753

Properties
* magnetic moment: 0.0000 μB per atom
* DFT formation energy: -0.0710 eV/atom


Entry 6:
Material: AgAsW2
Method: DFT, meta-GGA SCAN
State: single point on PBEsol structure

a = 2.781 Å, b = 2.781 Å, c = 8.858 Å
α = 90.00°, β = 90.00°, γ = 111.48°
Sites, in units of the cell vectors:
Ag  0.000  0.000  0.000
As  0.000  0.000  0.500
W  0.500  0.500  0.268
W  0.500  0.500  0.732

Properties
* magnetic moment: 0.0000 μB per atom
* DFT formation energy: 0.7627 eV/atom